Record 1
4
Lattice="-1.991 1.959 1.736 -2.369 -0.427 -2.241 -2.555 -6.003 3.846" Properties=species:S:1:pos:R:3 comment="HgPt2Br (GGA-PBE, optimized geometry)" e_form_raw_mev_per_atom=314 pbc="T T T"
Br -1.162 -2.729 1.748
Hg -4.234 -4.060 2.839
Pt -0.061 -0.143 0.092
Pt -2.736 -0.540 0.584

Record 2
5
Lattice="-1.611 1.337 3.804 3.173 -2.693 2.290 2.801 3.317 0.020" Properties=species:S:1:pos:R:3 comment="MnRe2NiAu (GGA-PBE, optimized geometry)" delta_e_f_ev_per_atom=1.6847 pbc="T T T"
Re 1.400 1.659 0.010
Re -0.805 0.669 1.902
Mn 0.000 0.000 0.000
Au 1.586 -1.346 1.145
Ni 2.181 0.981 3.057

Record 3
18
Lattice="-5.993 -2.984 -6.684 1.871 -9.130 -1.621 -7.327 -8.892 0.585" Properties=species:S:1:pos:R:3 comment="TbSm3Tm5 (GGA-PBE, optimized geometry)" delta_e_f_ev_per_atom=0.5330 pbc="T T T"
Tb -5.029 -7.167 -0.890
Tb -6.420 -13.839 -6.830
Sm -8.806 -15.689 -5.371
Sm -5.404 -11.242 -5.255
Sm 0.000 0.000 0.000
Sm -3.663 -4.446 0.292
Sm -2.643 -5.316 -2.350
Sm -6.044 -9.763 -2.466
Tm -6.225 -7.873 -6.058
Tm -0.180 -7.527 -2.942
Tm -10.425 -18.426 -6.179
Tm -3.663 -7.933 -3.943
Tm -7.786 -13.072 -3.778
Tm -1.024 -2.580 -1.542
Tm -2.303 -10.938 -3.533
Tm -3.942 -4.587 -5.364
Tm -5.223 -13.133 -1.662
Tm -9.145 -10.067 -4.187

Record 4
12
Lattice="-5.574 2.102 2.591 -1.870 -6.064 0.797 3.515 -0.081 7.627" Properties=species:S:1:pos:R:3 comment="NaCa2TbCl8 (GGA-PBE, optimized geometry)" e_form_raw_mev_per_atom=-2255 pbc="T T T"
Na 1.757 -0.040 3.814
Ca -1.117 -2.041 7.348
Ca -2.813 -2.002 3.668
Tb 0.000 0.000 0.000
Cl -1.697 -4.425 2.879
Cl -1.663 -2.965 9.983
Cl -4.117 0.426 4.046
Cl -2.233 0.383 8.137
Cl -2.266 -1.077 1.033
Cl 0.188 -4.469 6.969
Cl -3.378 -2.877 6.150
Cl -0.551 -1.165 4.866

Record 5
4
Lattice="4.434 -0.033 0.002 -1.053 4.308 0.002 -0.001 -0.001 2.822" Properties=species:S:1:pos:R:3 comment="ScBe2Mo (GGA-PBE, optimized geometry)" delta_e_f_ev_per_atom=0.0709 pbc="T T T"
Sc -0.527 2.153 1.412
Be 0.000 0.000 0.000
Be 1.691 2.137 0.002
Mo 2.217 -0.017 1.412

Record 6
18
Lattice="3.797 0.000 0.000 -1.898 8.031 0.000 0.000 0.000 11.800" Properties=species:S:1:pos:R:3 comment="Np2UCuS5 (GGA-PBE, optimized geometry)" e_form_raw_mev_per_atom=-1207 pbc="T T T"
Np 1.898 6.177 9.987
Np 0.000 1.872 8.177
Np 0.000 1.854 4.087
Np 1.898 6.159 2.277
U 1.898 5.065 6.202
U 0.000 2.966 0.302
Cu 1.898 0.808 10.887
Cu 0.000 7.223 4.987
S 0.000 5.619 0.234
S 1.898 3.037 10.139
S 0.000 7.927 8.847
S 0.000 4.838 8.131
S 1.898 7.761 6.119
S 1.898 2.412 6.134
S 0.000 4.994 4.239
S 1.898 0.104 2.947
S 1.898 3.193 2.231
S 0.000 0.271 0.219

| no. | V (Å³ per cell) |
| --- | --- |
| 1 | 81.9 |
| 2 | 89.5 |
| 3 | 644.5 |
| 4 | 348.9 |
| 5 | 53.8 |
| 6 | 359.8 |